# 1
{"formula": "ZnCdCl", "functional": "GGA-PBE", "state": "optimized geometry", "mass_density_g_cm3": 5.16, "raw_formation_energy_mev_per_atom": -293, "lattice": [[3.772, 0.000, 0.000], [-1.886, 3.267, 0.000], [0.000, 0.000, 5.572]], "species": ["Cd", "Cl", "Zn"], "fractional_positions": [[0.000, 0.000, 0.968], [0.667, 0.333, 0.365], [0.333, 0.667, 0.668]]}

# 2
{"formula": "NaSr2In", "functional": "GGA-PBE", "state": "optimized geometry", "ef_mev_per_atom": 183, "mass_density_g_cm3": 2.81, "lattice": [[3.989, 0.000, 0.000], [1.994, 3.454, 0.000], [1.994, 1.151, 13.410]], "species": ["Sr", "Sr", "Na", "In"], "fractional_positions": [[0.084, 0.084, 0.747], [0.916, 0.916, 0.253], [0.500, 0.500, 0.500], [0.000, 0.000, 0.000]]}